No. 1
Here is a relaxed Fe2F13 crystal from Alexandria via LeMat-Bulk. Energies are from PBE with a Hubbard U.

Summary:
density	2.85	g cm⁻³
raw total energy	-3.518	eV/atom

Cell: 5.0037 6.3899 7.4829 Å, 116.43 89.81 101.46°
With the nearest neighbours (Å) after each atom.
Atoms (fractional coordinates):
F 0.4837 0.2082 0.1783  1 Fe 1.77
F 0.5163 0.7918 0.8217  1 Fe 1.77
F 0.7784 0.1370 0.7733  1 Fe 1.77
F 0.6800 0.7185 0.4836  1 Fe 1.74
F 0.3812 0.4399 0.9319  1 F 1.41
F 0.8996 0.5806 0.7048  1 Fe 1.77
F 0.1004 0.4194 0.2952  1 Fe 1.77
F 0.2216 0.8630 0.2267  1 Fe 1.77
F 0.0000 0.0000 0.0000  2 Fe 1.92
F 0.8405 0.0728 0.3470  1 Fe 1.77
F 0.1595 0.9272 0.6530  1 Fe 1.77
F 0.6188 0.5601 0.0681  1 F 1.41
F 0.3200 0.2815 0.5164  1 Fe 1.74
Fe 0.8336 0.8534 0.7288  6 F 1.74-1.92
Fe 0.1664 0.1466 0.2712  6 F 1.74-1.92

=====

No. 2
Here is a relaxed FeF3 crystal from Alexandria via LeMat-Bulk. Energies are from PBE with a Hubbard U.

Summary:
density	5.12	g cm⁻³
raw total energy	-4.369	eV/atom

Cell: 3.7257 3.7257 3.7257 Å, 60.00 60.00 60.00°
With the nearest neighbours (Å) after each atom.
Atoms (fractional coordinates):
F 0.2500 0.2500 0.2500  4 Fe 2.28, 4 F 2.28
F 0.0000 0.0000 0.0000  8 F 2.28
F 0.7500 0.7500 0.7500  4 Fe 2.28, 4 F 2.28
Fe 0.5000 0.5000 0.5000  8 F 2.28

=====

No. 3
Here is a relaxed FeF4 crystal from Alexandria via LeMat-Bulk. Energies are from PBE with a Hubbard U.

Summary:
density	3.40	g cm⁻³
raw total energy	-4.261	eV/atom

Cell: 5.8522 5.5206 5.5385 Å, 74.83 58.11 57.99°
With the nearest neighbours (Å) after each atom.
Atoms (fractional coordinates):
F 0.2480 0.7431 0.2609  1 Fe 1.74
F 0.2520 0.2569 0.7391  1 Fe 1.74
F 0.6855 0.8124 0.8166  2 Fe 1.90
F 0.8145 0.1876 0.1834  2 Fe 1.90
F 0.1855 0.8124 0.8166  2 Fe 1.90
F 0.7520 0.2569 0.7391  1 Fe 1.74
F 0.7480 0.7431 0.2609  1 Fe 1.74
F 0.3145 0.1876 0.1834  2 Fe 1.90
Fe 0.2500 0.0000 0.0000  6 F 1.74-1.90
Fe 0.7500 0.0000 0.0000  6 F 1.74-1.90

=====

No. 4
Here is a relaxed FeF3 crystal from Alexandria via LeMat-Bulk. Energies are from PBE with a Hubbard U.

Summary:
density	2.62	g cm⁻³
raw total energy	-5.266	eV/atom

Cell: 7.3987 7.3987 7.3987 Å, 60.00 60.00 60.00°
With the nearest neighbours (Å) after each atom.
Atoms (fractional coordinates):
Fe 0.1250 0.6250 0.6250  6 F 1.96
Fe 0.6250 0.6250 0.1250  6 F 1.96
Fe 0.6250 0.1250 0.6250  6 F 1.96
Fe 0.6250 0.6250 0.6250  6 F 1.96
F 0.6867 0.6867 0.3133  2 Fe 1.96
F 0.5633 0.9367 0.9367  2 Fe 1.96
F 0.9367 0.9367 0.5633  2 Fe 1.96
F 0.3133 0.6867 0.6867  2 Fe 1.96
F 0.6867 0.3133 0.3133  2 Fe 1.96
F 0.5633 0.9367 0.5633  2 Fe 1.96
F 0.3133 0.3133 0.6867  2 Fe 1.96
F 0.5633 0.5633 0.9367  2 Fe 1.96
F 0.9367 0.5633 0.9367  2 Fe 1.96
F 0.9367 0.5633 0.5633  2 Fe 1.96
F 0.6867 0.3133 0.6867  2 Fe 1.96
F 0.3133 0.6867 0.3133  2 Fe 1.96

=====

No. 5
Here is a relaxed FeF6 crystal from Alexandria via LeMat-Bulk. Energies are from PBE with a Hubbard U.

Summary:
density	2.47	g cm⁻³
raw total energy	-3.715	eV/atom

Cell: 5.0813 5.0813 15.4927 Å, 89.34 89.34 145.22°
With the nearest neighbours (Å) after each atom.
Atoms (fractional coordinates):
F 0.4000 0.0598 0.6014  1 Fe 1.75
F 0.1084 0.0005 0.2049  1 F 1.42
F 0.6000 0.9402 0.3986  1 Fe 1.75
F 0.3721 0.1054 0.0359  2 Fe 1.96-1.98
F 0.9402 0.6000 0.8986  1 Fe 1.75
F 0.8916 0.9995 0.7951  1 F 1.42
F 0.9995 0.8916 0.2951  1 F 1.42
F 0.6279 0.8946 0.9641  2 Fe 1.96-1.98
F 0.0598 0.4000 0.1014  1 Fe 1.75
F 0.0005 0.1084 0.7049  1 F 1.42
F 0.1054 0.3721 0.5359  2 Fe 1.96-1.98
F 0.8946 0.6279 0.4641  2 Fe 1.96-1.98
Fe 0.0000 0.5000 0.0000  2 F 1.75
Fe 0.5000 0.0000 0.5000  2 F 1.75

=====

No. 6
Here is a relaxed FeF2 crystal from Alexandria via LeMat-Bulk. Energies are from PBE with a Hubbard U.

Summary:
density	4.07	g cm⁻³
raw total energy	-5.593	eV/atom

Cell: 3.3211 4.8012 4.8012 Å, 90.00 90.00 90.00°
With the nearest neighbours (Å) after each atom.
Atoms (fractional coordinates):
F 0.0000 0.3002 0.3002  3 Fe 2.04-2.14
F 0.5000 0.1998 0.8002  3 Fe 2.04-2.14
F 0.0000 0.6998 0.6998  3 Fe 2.04-2.14
F 0.5000 0.8002 0.1998  3 Fe 2.04-2.14
Fe 0.5000 0.5000 0.5000  6 F 2.04-2.14
Fe 0.0000 0.0000 0.0000  6 F 2.04-2.14

=====

No. 7
Here is a relaxed FeF4 crystal from Alexandria via LeMat-Bulk. Energies are from PBE with a Hubbard U.

Summary:
density	2.73	g cm⁻³
raw total energy	-4.273	eV/atom

Cell: 4.3101 4.3101 4.3101 Å, 90.00 90.00 90.00°
With the nearest neighbours (Å) after each atom.
Atoms (fractional coordinates):
F 0.2400 0.2400 0.2400  1 Fe 1.79
F 0.7600 0.7600 0.2400  1 Fe 1.79
F 0.2400 0.7600 0.7600  1 Fe 1.79
F 0.7600 0.2400 0.7600  1 Fe 1.79
Fe 0.0000 0.0000 0.0000  4 F 1.79

=====

No. 8
Here is a relaxed FeF4 crystal from Alexandria via LeMat-Bulk. Energies are from PBE with a Hubbard U.

Summary:
density	3.62	g cm⁻³
raw total energy	-4.339	eV/atom

Cell: 3.9256 3.9256 3.9256 Å, 90.00 90.00 90.00°
With the nearest neighbours (Å) after each atom.
Atoms (fractional coordinates):
F 0.5000 0.0000 0.5000  2 Fe 1.96
F 0.0000 0.0000 0.0000  12 F 2.78
F 0.5000 0.5000 0.0000  2 Fe 1.96
F 0.0000 0.5000 0.5000  2 Fe 1.96
Fe 0.5000 0.5000 0.5000  6 F 1.96

=====

No. 9
Here is a relaxed FeF3 crystal from Alexandria via LeMat-Bulk. Energies are from PBE with a Hubbard U.

Summary:
density	3.04	g cm⁻³
raw total energy	-5.268	eV/atom

Cell: 7.4642 7.4642 7.6331 Å, 90.00 90.00 119.63°
With the nearest neighbours (Å) after each atom.
Atoms (fractional coordinates):
F 0.7893 0.5796 0.0382  2 Fe 1.96
F 0.5796 0.7893 0.9618  2 Fe 1.96
F 0.9941 0.4384 0.2500  2 Fe 1.96
F 0.5616 0.0059 0.2500  2 Fe 1.96
F 0.4384 0.9941 0.7500  2 Fe 1.96
F 0.2153 0.7847 0.4570  2 Fe 1.96
F 0.4666 0.5334 0.2500  2 Fe 1.96
F 0.7847 0.2153 0.9570  2 Fe 1.96
F 0.5334 0.4666 0.7500  2 Fe 1.96
F 0.4204 0.2107 0.4618  2 Fe 1.96
F 0.0059 0.5616 0.7500  2 Fe 1.96
F 0.4204 0.2107 0.0382  2 Fe 1.96
F 0.2107 0.4204 0.5382  2 Fe 1.96
F 0.7893 0.5796 0.4618  2 Fe 1.96
F 0.7847 0.2153 0.5430  2 Fe 1.96
F 0.2107 0.4204 0.9618  2 Fe 1.96
F 0.2153 0.7847 0.0430  2 Fe 1.96
F 0.5796 0.7893 0.5382  2 Fe 1.96
Fe 0.0000 0.5000 0.0000  6 F 1.96
Fe 0.5000 0.5000 0.5000  6 F 1.96
Fe 0.5000 0.0000 0.0000  6 F 1.96
Fe 0.5000 0.5000 0.0000  6 F 1.96
Fe 0.5000 0.0000 0.5000  6 F 1.96
Fe 0.0000 0.5000 0.5000  6 F 1.96

=====

No. 10
Here is a relaxed Fe2F5 crystal from Alexandria via LeMat-Bulk. Energies are from PBE with a Hubbard U.

Summary:
density	3.92	g cm⁻³
raw total energy	-5.327	eV/atom

Cell: 4.9101 5.6128 6.9934 Å, 77.06 110.55 90.00°
With the nearest neighbours (Å) after each atom.
Atoms (fractional coordinates):
F 0.6307 0.8726 0.4065  3 Fe 2.07-2.18
F 0.9619 0.9588 0.7844  2 Fe 1.96-1.97
F 0.2242 0.6274 0.5935  3 Fe 2.07-2.18
F 0.0381 0.0412 0.2156  2 Fe 1.96-1.97
F 0.7758 0.3726 0.4065  3 Fe 2.07-2.18
F 0.8225 0.4588 0.7844  2 Fe 1.96-1.97
F 0.3693 0.1274 0.5935  3 Fe 2.07-2.18
F 0.4050 0.2500 0.0000  2 Fe 1.95
F 0.1775 0.5412 0.2156  2 Fe 1.96-1.97
F 0.5950 0.7500 0.0000  2 Fe 1.95
Fe 0.1102 0.2809 0.7198  6 F 1.95-2.18
Fe 0.8898 0.7191 0.2802  6 F 1.95-2.18
Fe 0.3904 0.2191 0.2802  6 F 1.95-2.18
Fe 0.6096 0.7809 0.7198  6 F 1.95-2.18

=====

No. 11
Here is a relaxed FeF4 crystal from Alexandria via LeMat-Bulk. Energies are from PBE with a Hubbard U.

Summary:
density	3.01	g cm⁻³
raw total energy	-4.352	eV/atom

Cell: 6.3992 6.3992 6.3992 Å, 131.07 131.07 71.70°
With the nearest neighbours (Å) after each atom.
Atoms (fractional coordinates):
F 0.5559 0.7106 0.5000  1 Fe 1.77
F 0.2894 0.7894 0.8453  1 Fe 1.77
F 0.4441 0.2894 0.5000  1 Fe 1.77
F 0.2106 0.0559 0.5000  1 Fe 1.77
F 0.7894 0.9441 0.5000  1 Fe 1.77
F 0.0559 0.5559 0.8453  1 Fe 1.77
F 0.7106 0.2106 0.1547  1 Fe 1.77
F 0.9441 0.4441 0.1547  1 Fe 1.77
Fe 0.5000 0.0000 0.5000  4 F 1.77
Fe 0.0000 0.5000 0.5000  4 F 1.77

=====

No. 12
Here is a relaxed FeF3 crystal from Alexandria via LeMat-Bulk. Energies are from PBE with a Hubbard U.

Summary:
density	2.88	g cm⁻³
raw total energy	-3.528	eV/atom

Cell: 8.5074 8.5074 8.5074 Å, 20.35 20.35 20.35°
With the nearest neighbours (Å) after each atom.
Atoms (fractional coordinates):
F 0.9308 0.9308 0.9308  1 Fe 1.73
F 0.5000 0.5000 0.5000  12 F 2.99-3.01
F 0.0692 0.0692 0.0692  1 Fe 1.73
Fe 0.0000 0.0000 0.0000  2 F 1.73

=====

Question: Which of these has the highest raw total energy?
Answer: Fe2F13

=====

Question: Number 8 is which compound?
Answer: FeF4